No. 1
Density functional theory data (PBE-GGA) for K2Tl6PbAu after structural relaxation.

```
K2Tl6PbAu
1.0
4.0414 2.3333 13.3770
-4.0414 2.3333 13.3770
0.0000 -4.6666 13.3770
K Tl Pb Au
4 12 2 2
Direct
0.1269 0.1269 0.1269
0.2967 0.2967 0.2967
0.7033 0.7033 0.7033
0.8731 0.8731 0.8731
0.0798 0.6580 0.6580
0.1955 0.1955 0.7617
0.1955 0.7617 0.1955
0.2383 0.8045 0.8045
0.3420 0.3420 0.9202
0.3420 0.9202 0.3420
0.6580 0.0798 0.6580
0.6580 0.6580 0.0798
0.7617 0.1955 0.1955
0.8045 0.2383 0.8045
0.8045 0.8045 0.2383
0.9202 0.3420 0.3420
0.4221 0.4221 0.4221
0.5779 0.5779 0.5779
0.0000 0.0000 0.0000
0.5000 0.5000 0.5000
```

Results
- crystal system = trigonal
- size of the total moment (Bohr magnetons per cell) = 0.00



No. 2
Density functional theory data (PBE-GGA) for KTl4PbAu2 after structural relaxation.

```
KTl4PbAu2
1.0
5.7042 0.0000 0.0000
0.0000 5.7042 0.0000
0.0000 0.0000 8.1111
K Tl Pb Au
1 4 1 2
Direct
0.0000 0.0000 0.0000
0.0000 0.5000 0.2794
0.0000 0.5000 0.7206
0.5000 0.0000 0.2794
0.5000 0.0000 0.7206
0.0000 0.0000 0.5000
0.5000 0.5000 0.3288
0.5000 0.5000 0.6712
```

Results
- crystal system = tetragonal
- size of the total moment (Bohr magnetons per cell) = 0.00



No. 3
Density functional theory data (PBE-GGA) for K2TlPbAu after structural relaxation.

```
K2TlPbAu
1.0
6.2085 0.0000 0.0000
0.0000 6.2085 0.0000
0.0000 0.0000 5.5317
K Tl Pb Au
2 1 1 1
Direct
0.0000 0.5000 0.0000
0.5000 0.0000 0.0000
0.0000 0.0000 0.5000
0.5000 0.5000 0.5000
0.5000 0.5000 0.0000
```

Results
- crystal system = tetragonal
- size of the total moment (Bohr magnetons per cell) = 0.00



No. 4
Density functional theory data (PBE-GGA) for KTlPb3Au after structural relaxation.

```
KTlPb3Au
1.0
3.6488 -7.8173 0.0000
3.6488 7.8173 0.0000
0.0000 0.0000 7.2063
K Tl Pb Au
2 2 6 2
Direct
0.2078 0.7922 0.7500
0.7922 0.2078 0.2500
0.1512 0.8488 0.2500
0.8488 0.1512 0.7500
0.2313 0.2313 0.0000
0.2313 0.2313 0.5000
0.3680 0.6320 0.2500
0.6320 0.3680 0.7500
0.7687 0.7687 0.0000
0.7687 0.7687 0.5000
0.4177 0.5823 0.7500
0.5823 0.4177 0.2500
```

Results
- crystal system = orthorhombic
- size of the total moment (Bohr magnetons per cell) = 0.00



Results for total energy: -46.10 -20.58 -11.61 -36.23 (in eV for the cell shown, following the order of the records).